Entry 1:
9
Lattice="-0.205 -5.287 -7.697 -5.219 -2.311 7.393 -2.872 2.104 -1.369" Properties=species:S:1:pos:R:3 comment="Sr5InAg3 (PBE, optimized geometry)" space_group="No. 189" mass_density_g_cm3=5.05 total_energy_ev_per_atom=-2.219 pbc="T T T"
Ag -2.060 -2.886 -0.115
Ag -0.127 -3.279 -4.773
Ag -3.236 -1.433 4.585
Sr -1.491 -0.383 -2.774
Sr -3.312 -3.243 -3.351
Sr -4.983 -2.251 1.679
Sr -2.852 0.425 1.322
Sr -5.387 -4.484 -0.906
In 0.000 0.000 0.000

Entry 2:
4
Lattice="0.000 3.336 3.336 3.336 0.000 3.336 3.336 3.336 0.000" Properties=species:S:1:pos:R:3 comment="TaInAg2 (PBE, optimized geometry)" space_group="No. 216" mass_density_g_cm3=11.43 total_energy_ev_per_atom=-4.629 magmom_total_mub_per_fu=0.01 pbc="T T T"
Ag 5.005 5.005 5.005
Ag 0.000 0.000 0.000
Ta 1.668 1.668 1.668
In 3.336 3.336 3.336

Entry 3:
6
Lattice="3.603 0.000 0.000 0.000 3.603 0.000 0.000 0.000 12.001" Properties=species:S:1:pos:R:3 comment="Tb3In2Ag (PBE, optimized geometry)" space_group="No. 123" mass_density_g_cm3=8.68 total_energy_ev_per_atom=-4.124 magmom_total_mub_per_fu=0.13 pbc="T T T"
Ag 0.000 0.000 6.000
Tb 1.801 1.801 0.000
Tb 1.801 1.801 7.858
Tb 1.801 1.801 4.143
In 0.000 0.000 9.907
In 0.000 0.000 2.094

Entry 4:
9
Lattice="3.885 0.000 0.000 0.000 6.790 3.909 0.000 -6.790 3.909" Properties=species:S:1:pos:R:3 comment="TbTm2In3Ag3 (PBE, optimized geometry)" space_group="No. 38" mass_density_g_cm3=9.38 total_energy_ev_per_atom=-3.779 magmom_total_mub_per_fu=0.00 pbc="T T T"
Ag 1.943 2.288 3.914
Ag 1.943 -2.288 3.914
Ag 0.000 0.000 7.804
In 1.943 0.000 5.745
In 1.943 4.988 4.941
In 1.943 -4.988 4.941
Tm 0.000 -4.056 2.337
Tm 0.000 4.056 2.337
Tb 0.000 0.000 3.152

Entry 5:
9
Lattice="3.918 0.000 0.000 0.000 6.766 3.922 0.000 -6.766 3.922" Properties=species:S:1:pos:R:3 comment="Tb2TmIn3Ag3 (PBE, optimized geometry)" space_group="No. 38" mass_density_g_cm3=9.22 total_energy_ev_per_atom=-3.804 magmom_total_mub_per_fu=0.00 pbc="T T T"
In 1.959 1.776 1.036
In 1.959 -1.776 1.036
In 1.959 0.000 5.781
Ag 0.000 0.000 0.012
Ag 1.959 -2.230 3.917
Ag 1.959 2.230 3.917
Tm 0.000 0.000 3.170
Tb 0.000 -2.739 6.254
Tb 0.000 2.739 6.254

Entry 6:
4
Lattice="2.545 -2.350 2.953 -1.949 -3.043 2.768 0.713 -4.449 -0.646" Properties=species:S:1:pos:R:3 comment="InTc2Ag (PBE, optimized geometry)" space_group="No. 216" mass_density_g_cm3=10.43 total_energy_ev_per_atom=-6.142 magmom_total_mub_per_fu=0.01 pbc="T T T"
Tc 0.000 0.000 0.000
Tc 0.981 -7.381 3.806
Ag 0.327 -2.460 1.269
In 0.654 -4.920 2.537

Entry 7:
4
Lattice="0.000 3.275 3.275 3.275 0.000 3.275 3.275 3.275 0.000" Properties=species:S:1:pos:R:3 comment="InTcAg2 (PBE, optimized geometry)" space_group="No. 216" mass_density_g_cm3=10.13 total_energy_ev_per_atom=-4.279 magmom_total_mub_per_fu=1.34 pbc="T T T"
Ag 4.913 4.913 4.913
Ag 0.000 0.000 0.000
In 3.275 3.275 3.275
Tc 1.638 1.638 1.638

Entry 8:
4
Lattice="-1.252 -4.525 0.565 0.706 -2.148 4.154 -3.687 -1.108 2.746" Properties=species:S:1:pos:R:3 comment="In2TcAg (PBE, optimized geometry)" space_group="No. 216" mass_density_g_cm3=9.67 total_energy_ev_per_atom=-4.146 magmom_total_mub_per_fu=0.00 pbc="T T T"
Tc 0.000 0.000 0.000
In -2.117 -3.891 3.732
In -3.175 -5.836 5.598
Ag -1.058 -1.945 1.866

Entry 9:
12
Lattice="-5.097 4.397 -3.385 3.307 -6.729 0.743 -7.295 -2.770 7.386" Properties=species:S:1:pos:R:3 comment="InTcAgTe3 (PBE, optimized geometry)" space_group="No. 63" mass_density_g_cm3=7.57 total_energy_ev_per_atom=-4.155 magmom_total_mub_per_fu=1.69 pbc="T T T"
Te -3.566 -4.090 3.069
Te -2.828 -7.928 5.956
Te -6.257 2.826 -1.212
Te -6.924 -5.365 6.469
Te -2.160 0.263 -1.725
Te -5.519 -1.012 1.675
Tc 0.000 0.000 0.000
Tc -3.647 -1.385 3.693
In -8.610 -0.272 3.116
In -0.474 -4.830 1.628
Ag -5.902 -3.858 4.446
Ag -3.183 -1.244 0.297

Entry 10:
5
Lattice="-0.949 -4.563 3.772 1.635 2.881 4.997 -4.103 2.059 -3.857" Properties=species:S:1:pos:R:3 comment="In2AgTe2 (PBE, optimized geometry)" space_group="No. 139" mass_density_g_cm3=6.91 relative_energy_mev_per_atom=0 pbc="T T T"
In 0.450 -1.103 5.752
In 0.236 -0.579 3.017
Te -1.062 2.050 2.763
Te -2.354 -1.672 2.150
Ag 0.000 0.000 0.000

Entry 11:
5
Lattice="-4.796 -0.631 1.674 -0.842 -3.428 -3.707 4.843 -2.778 5.002" Properties=species:S:1:pos:R:3 comment="In2AgTe2 (PBE, optimized geometry)" space_group="No. 139" mass_density_g_cm3=5.72 relative_energy_mev_per_atom=163 pbc="T T T"
Ag 0.000 0.000 0.000
In 0.591 -4.117 0.139
In -1.386 -2.719 2.829
Te 1.493 -3.546 2.939
Te -2.288 -3.291 0.029

Entry 12:
6
Lattice="-2.473 -0.891 3.839 1.923 -4.229 0.257 5.779 2.896 4.396" Properties=species:S:1:pos:R:3 comment="InAgTe (PBE, optimized geometry)" space_group="No. 129" mass_density_g_cm3=6.87 total_energy_ev_per_atom=-3.009 pbc="T T T"
In 3.535 1.946 5.549
In 1.968 -1.610 0.894
Te 0.327 0.338 3.109
Te 5.177 -0.002 3.335
Ag 2.889 1.448 2.198
Ag 2.614 -1.112 4.246

Entry 13:
3
Lattice="2.499 -2.617 3.350 -2.075 -1.067 4.345 -1.349 -4.633 1.017" Properties=species:S:1:pos:R:3 comment="InAgTe (PBE, optimized geometry)" space_group="No. 216" mass_density_g_cm3=6.86 total_energy_ev_per_atom=-3.005 pbc="T T T"
Ag 0.000 0.000 0.000
In -0.231 -2.079 2.178
Te -0.694 -6.238 6.534

Entry 14:
12
Lattice="-7.807 -1.249 -1.171 7.482 -1.163 -2.559 0.620 -9.708 6.222" Properties=species:S:1:pos:R:3 comment="ThInAgTe3 (PBE, optimized geometry)" space_group="No. 63" mass_density_g_cm3=7.05 total_energy_ev_per_atom=-4.448 magmom_total_mub_per_fu=0.00 pbc="T T T"
Te -1.274 -3.640 -0.195
Te 5.677 -6.537 1.073
Te -5.627 -1.746 -1.040
Te 5.922 -10.374 3.532
Te -5.382 -5.582 1.419
Te 1.569 -8.480 2.686
In -3.396 -8.508 3.137
In 3.690 -3.612 -0.645
Ag 7.428 -8.447 2.155
Ag -7.133 -3.673 0.337
Th 0.147 -6.060 1.246
Th -0.163 -1.206 -1.865

Entry 15:
8
Lattice="-3.296 3.296 6.452 3.296 -3.296 6.452 3.296 3.296 -6.452" Properties=species:S:1:pos:R:3 comment="TlInAg2Te4 (PBE, optimized geometry)" space_group="No. 82" mass_density_g_cm3=6.19 total_energy_ev_per_atom=-3.126 pbc="T T T"
Te 1.719 1.612 4.872
Te 1.578 1.684 -1.580
Te -1.612 1.719 8.033
Te 4.909 1.578 1.580
Tl 0.000 3.296 3.226
Ag 3.296 0.000 3.226
Ag 0.000 0.000 0.000
In 0.000 0.000 6.452

Entry 16:
12
Lattice="-7.829 -1.326 -0.522 7.031 0.484 -3.695 1.749 -11.068 1.880" Properties=species:S:1:pos:R:3 comment="UInAgTe3 (PBE, optimized geometry)" space_group="No. 63" mass_density_g_cm3=7.37 total_energy_ev_per_atom=-4.801 magmom_total_mub_per_fu=2.00 pbc="T T T"
U 0.875 -5.534 0.940
U 0.000 0.000 0.000
Te 6.288 -2.427 -2.973
Te 2.454 -5.202 -1.693
Te -1.502 -6.708 -0.644
Te -5.337 -9.483 0.636
Te 1.738 -0.673 -2.462
Te -0.787 -11.237 0.125
Ag 0.343 -8.791 -0.577
Ag 0.609 -3.119 -1.760
In 4.788 -8.250 -1.526
In -3.837 -3.660 -0.811

Entry 17:
12
Lattice="7.710 -1.888 0.000 7.710 1.888 0.000 0.000 0.000 10.723" Properties=species:S:1:pos:R:3 comment="InAgTe3W (PBE, optimized geometry)" space_group="No. 63" mass_density_g_cm3=8.39 total_energy_ev_per_atom=-4.464 magmom_total_mub_per_fu=1.29 pbc="T T T"
In 3.713 0.000 8.043
In 11.707 0.000 2.681
Te 9.749 0.000 10.479
Te 9.749 0.000 5.606
Te 1.184 0.000 2.681
Te 5.671 0.000 5.117
Te 5.671 0.000 0.244
Te 14.236 0.000 8.043
W 0.000 0.000 5.362
W 0.000 0.000 0.000
Ag 8.580 0.000 8.043
Ag 6.841 0.000 2.681

Entry 18:
9
Lattice="6.688 0.000 0.000 0.000 6.688 0.000 0.000 0.000 6.688" Properties=species:S:1:pos:R:3 comment="InAg3Te4W (PBE, optimized geometry)" space_group="No. 215" mass_density_g_cm3=6.29 total_energy_ev_per_atom=-3.940 magmom_total_mub_per_fu=2.00 pbc="T T T"
In 0.000 0.000 0.000
Te 1.806 4.882 4.882
Te 1.806 1.806 1.806
Te 4.882 1.806 4.882
Te 4.882 4.882 1.806
Ag 3.344 0.000 3.344
Ag 0.000 3.344 3.344
Ag 3.344 3.344 0.000
W 3.344 3.344 3.344

Entry 19:
24
Lattice="4.195 0.000 0.000 0.000 12.636 0.000 0.000 0.000 13.240" Properties=species:S:1:pos:R:3 comment="ZrInAgTe3 (PBE, optimized geometry)" space_group="No. 62" mass_density_g_cm3=6.59 relative_energy_mev_per_atom=41 magmom_total_mub_per_fu=0.00 pbc="T T T"
Te 1.049 2.113 3.241
Te 1.049 8.390 6.817
Te 1.049 7.182 12.144
Te 3.147 5.455 1.096
Te 1.049 11.773 5.524
Te 1.049 10.565 0.196
Te 3.147 4.247 6.424
Te 1.049 4.205 9.861
Te 3.147 10.523 9.999
Te 3.147 0.863 7.717
Te 3.147 8.431 3.379
Te 3.147 2.071 13.044
Zr 3.147 8.501 0.591
Zr 1.049 2.183 6.030
Zr 3.147 10.453 7.211
Zr 1.049 4.135 12.650
Ag 3.147 4.019 3.604
Ag 3.147 2.299 10.224
Ag 1.049 8.617 9.637
Ag 1.049 10.338 3.016
In 3.147 12.471 2.385
In 3.147 6.483 9.005
In 1.049 0.165 10.855
In 1.049 6.153 4.235

Entry 20:
12
Lattice="-4.650 2.682 -5.742 1.346 -1.169 7.656 4.850 9.777 0.639" Properties=species:S:1:pos:R:3 comment="ZrInAgTe3 (PBE, optimized geometry)" space_group="No. 63" mass_density_g_cm3=6.79 relative_energy_mev_per_atom=0 magmom_total_mub_per_fu=0.00 pbc="T T T"
Te 2.749 3.867 6.095
Te 0.062 2.880 2.236
Te 1.485 8.412 0.317
Te -1.203 7.424 -3.542
Te 0.839 11.540 -3.273
Te 0.708 -0.249 5.826
Ag 2.325 1.426 7.292
Ag -0.778 9.865 -4.739
Zr 0.773 5.646 1.276
Zr -1.652 0.757 0.957
In 3.403 7.180 4.604
In -1.857 4.112 -2.051